Below is an optimized crystal structure of CaPrHg4, with properties calculated at the GGA-PBE level.

Lattice parameters (Å, degrees): 10.7073 3.9930 8.0515 90.00 112.13 90.00
Space group C2/m (No. 12)
Symmetry-distinct sites (fractional):
Ca  0.0000  0.0000  0.0000 (multiplicity 2)
Pr  0.0000  0.0000  0.5000 (multiplicity 2)
Hg  0.1674  0.5000  0.3289 (multiplicity 4)
Hg  0.1700  0.5000  0.8390 (multiplicity 4)

As for the total energy: -1.75 eV per atom. For the spin magnetization, the calculation gives 0.00 μB per cell. Its formation energy is -0.42 eV/atom.